Entry i
First-principles (PBE) data for a relaxed structure of CuPdPt2, as listed in the Alexandria database.

Output
- DOS(E_F) (states/eV per cell) = 5.76
- space-group type = Fm-3m

Cell: 4.385 4.385 4.385 Å, 60.00 60.00 60.00°
Atoms (fractional coordinates):
Pt (0.250, 0.250, 0.250)
Pd (0.500, 0.500, 0.500)
Cu (0.000, 0.000, 0.000)
Pt (0.750, 0.750, 0.750)

---

Entry ii
First-principles (PBE) data for a relaxed structure of CuPdPt2, as listed in the Alexandria database.

Output
- DOS(E_F) (states/eV per cell) = 12.92
- space-group type = P6_3/mmc

Cell: 2.763 2.763 17.967 Å, 90.00 90.00 120.00°
Atoms (fractional coordinates):
Cu (0.000, 0.000, 0.500)
Pt (0.333, 0.667, 0.118)
Cu (0.000, 0.000, 0.000)
Pd (0.667, 0.333, 0.250)
Pt (0.667, 0.333, 0.618)
Pd (0.333, 0.667, 0.750)
Pt (0.667, 0.333, 0.882)
Pt (0.333, 0.667, 0.382)

---

Entry iii
First-principles (PBE) data for a relaxed structure of CuPdPt2, as listed in the Alexandria database.

Output
- DOS(E_F) (states/eV per cell) = 5.84
- space-group type = R-3m

Cell: 2.759 2.759 9.133 Å, 81.31 81.31 60.00°
Atoms (fractional coordinates):
Cu (0.000, 0.000, 0.000)
Pd (0.500, 0.500, 0.500)
Pt (0.746, 0.746, 0.763)
Pt (0.254, 0.254, 0.237)

---

Energies, relative to the best one, in meV/atom: entry i 127; entry ii 15; entry iii 0.

---

Entry i
First-principles (PBE) data for a relaxed structure of CuPdPt2, as listed in the Alexandria database.

Output
- DOS(E_F) (states/eV per cell) = 5.18
- space-group type = P4/mmm

Cell: 3.937 3.877 3.877 Å, 90.00 90.00 90.00°
Atoms (fractional coordinates):
Pt (0.000, 0.500, 0.000)
Pt (0.000, 0.000, 0.500)
Cu (0.500, 0.000, 0.000)
Pd (0.500, 0.500, 0.500)

---

Entry ii
First-principles (PBE) data for a relaxed structure of CuPdPt2, as listed in the Alexandria database.

Output
- DOS(E_F) (states/eV per cell) = 7.01
- space-group type = Pmm2

Cell: 2.758 3.896 5.522 Å, 90.01 90.00 90.00°
Atoms (fractional coordinates):
Pt (0.560, 0.471, 0.353)
Pt (0.060, 0.971, 0.099)
Pd (0.561, 0.471, 0.841)
Cu (0.061, 0.972, 0.596)

---

Entry iii
First-principles (PBE) data for a relaxed structure of CuPdPt2, as listed in the Alexandria database.

Output
- DOS(E_F) (states/eV per cell) = 5.71
- space-group type = R3m

Cell: 2.750 2.750 9.201 Å, 81.40 81.40 60.00°
Atoms (fractional coordinates):
Cu (0.667, 0.667, 0.999)
Pt (0.255, 0.255, 0.236)
Pt (0.079, 0.079, 0.763)
Pd (0.500, 0.500, 0.501)

---

Energies, relative to the best one, in meV/atom: entry i 0; entry ii 28; entry iii 5.

---

Entry i
First-principles (PBE) data for a relaxed structure of Cu5Pd2Pt4, as listed in the Alexandria database.

Output
- DOS(E_F) (states/eV per cell) = 12.95
- space-group type = C2/m

Cell: 4.061 6.207 6.820 Å, 87.37 107.32 90.00°
Atoms (fractional coordinates):
Pt (0.064, 0.317, 0.129)
Cu (0.899, 0.099, 0.797)
Pd (0.414, 0.393, 0.829)
Cu (0.225, 0.592, 0.451)
Cu (0.500, 0.000, 0.000)
Pt (0.256, 0.139, 0.513)
Pt (0.936, 0.683, 0.871)
Cu (0.775, 0.408, 0.549)
Pt (0.744, 0.861, 0.487)
Pd (0.586, 0.607, 0.171)
Cu (0.101, 0.901, 0.203)

---

Entry ii
First-principles (PBE) data for a relaxed structure of Cu5Pd2Pt4, as listed in the Alexandria database.

Output
- DOS(E_F) (states/eV per cell) = 11.73
- space-group type = C2/m

Cell: 4.051 6.691 7.078 Å, 61.19 106.63 90.00°
Atoms (fractional coordinates):
Pt (0.003, 0.709, 0.005)
Pd (0.657, 0.117, 0.314)
Cu (0.846, 0.150, 0.693)
Pt (0.338, 0.431, 0.676)
Pd (0.343, 0.883, 0.686)
Cu (0.154, 0.850, 0.307)
Pt (0.997, 0.291, 0.995)
Cu (0.187, 0.309, 0.374)
Pt (0.662, 0.569, 0.324)
Cu (0.500, 0.000, 0.000)
Cu (0.813, 0.691, 0.626)

---

Energies, relative to the best one, in meV/atom: entry i 98; entry ii 0.

---

Entry i
First-principles (PBE) data for a relaxed structure of Cu5Pd4Pt, as listed in the Alexandria database.

Output
- DOS(E_F) (states/eV per cell) = 11.72
- space-group type = P4/mmm

Cell: 3.001 3.001 15.279 Å, 90.00 90.00 90.00°
Atoms (fractional coordinates):
Cu (0.500, 0.500, 0.100)
Pt (0.000, 0.000, 0.000)
Pd (0.000, 0.000, 0.400)
Cu (0.500, 0.500, 0.699)
Cu (0.500, 0.500, 0.900)
Cu (0.500, 0.500, 0.500)
Cu (0.500, 0.500, 0.301)
Pd (0.000, 0.000, 0.600)
Pd (0.000, 0.000, 0.799)
Pd (0.000, 0.000, 0.201)

---

Entry ii
First-principles (PBE) data for a relaxed structure of Cu5Pd4Pt, as listed in the Alexandria database.

Output
- DOS(E_F) (states/eV per cell) = 7.36
- space-group type = I4

Cell: 4.946 6.008 6.008 Å, 80.24 65.69 65.69°
Atoms (fractional coordinates):
Cu (0.189, 0.881, 0.635)
Pd (0.392, 0.389, 0.729)
Cu (0.070, 0.635, 0.119)
Pd (0.121, 0.271, 0.389)
Cu (0.824, 0.365, 0.881)
Cu (0.701, 0.000, 0.000)
Pd (0.510, 0.611, 0.271)
Pt (0.220, 0.000, 0.000)
Cu (0.705, 0.119, 0.365)
Pd (0.781, 0.729, 0.611)

---

Energies, relative to the best one, in meV/atom: entry i 0; entry ii 250.

---

Entry i
First-principles (PBE) data for a relaxed structure of Cu6Pd3Pt, as listed in the Alexandria database.

Output
- DOS(E_F) (states/eV per cell) = 10.37
- space-group type = P2_1/m

Cell: 2.718 11.166 10.695 Å, 121.32 90.00 90.00°
Atoms (fractional coordinates):
Cu (0.250, 0.276, 0.698)
Pt (0.750, 0.090, 0.751)
Cu (0.750, 0.677, 0.723)
Pd (0.750, 0.561, 0.431)
Pd (0.750, 0.079, 0.137)
Cu (0.750, 0.724, 0.302)
Cu (0.750, 0.362, 0.936)
Cu (0.250, 0.912, 0.504)
Cu (0.250, 0.638, 0.064)
Pt (0.250, 0.910, 0.249)
Cu (0.250, 0.323, 0.277)
Cu (0.250, 0.199, 0.004)
Cu (0.750, 0.088, 0.496)
Pd (0.250, 0.439, 0.569)
Pd (0.250, 0.921, 0.863)
Cu (0.750, 0.801, 0.996)
Cu (0.250, 0.183, 0.383)
Cu (0.750, 0.817, 0.617)
Pd (0.750, 0.517, 0.825)
Pd (0.250, 0.483, 0.175)

---

Entry ii
First-principles (PBE) data for a relaxed structure of Cu6Pd3Pt, as listed in the Alexandria database.

Output
- DOS(E_F) (states/eV per cell) = 6.78
- space-group type = P2_1/m

Cell: 4.240 7.331 8.984 Å, 105.53 90.00 90.00°
Atoms (fractional coordinates):
Cu (0.250, 0.149, 0.196)
Pd (0.750, 0.248, 0.000)
Pd (0.250, 0.752, 0.000)
Pd (0.750, 0.449, 0.601)
Cu (0.250, 0.444, 0.100)
Cu (0.250, 0.857, 0.297)
Pd (0.750, 0.649, 0.202)
Cu (0.250, 0.658, 0.703)
Pd (0.250, 0.351, 0.798)
Pt (0.250, 0.951, 0.600)
Pt (0.750, 0.049, 0.400)
Cu (0.750, 0.143, 0.703)
Cu (0.750, 0.342, 0.297)
Cu (0.750, 0.751, 0.509)
Cu (0.250, 0.047, 0.899)
Cu (0.250, 0.249, 0.491)
Cu (0.750, 0.953, 0.101)
Cu (0.750, 0.556, 0.900)
Pd (0.250, 0.551, 0.399)
Cu (0.750, 0.851, 0.804)

---

Energies, relative to the best one, in meV/atom: entry i 116; entry ii 0.

---

Entry i
First-principles (PBE) data for a relaxed structure of Cu2Pd6Pt, as listed in the Alexandria database.

Output
- DOS(E_F) (states/eV per cell) = 31.44
- space-group type = P4_2/mnm

Cell: 3.890 8.271 8.271 Å, 90.00 90.00 90.00°
Atoms (fractional coordinates):
Pd (0.500, 0.830, 0.000)
Pd (0.500, 0.836, 0.336)
Pd (0.500, 0.170, 0.000)
Pd (0.000, 0.330, 0.500)
Pd (0.500, 0.164, 0.664)
Pd (0.000, 0.336, 0.164)
Pt (0.000, 0.000, 0.500)
Pd (0.000, 0.000, 0.830)
Cu (0.000, 0.333, 0.833)
Pd (0.500, 0.500, 0.670)
Pt (0.500, 0.500, 0.000)
Pd (0.000, 0.664, 0.836)
Cu (0.500, 0.833, 0.667)
Cu (0.500, 0.167, 0.333)
Pd (0.500, 0.500, 0.330)
Pd (0.000, 0.000, 0.170)
Pd (0.000, 0.670, 0.500)
Cu (0.000, 0.667, 0.167)

---

Entry ii
First-principles (PBE) data for a relaxed structure of Cu2Pd6Pt, as listed in the Alexandria database.

Output
- DOS(E_F) (states/eV per cell) = 15.44
- space-group type = C2/m

Cell: 2.701 7.670 7.005 Å, 76.55 78.89 79.86°
Atoms (fractional coordinates):
Pd (0.236, 0.365, 0.162)
Pd (0.764, 0.635, 0.838)
Cu (0.121, 0.944, 0.814)
Cu (0.879, 0.056, 0.186)
Pt (0.000, 0.500, 0.500)
Pd (0.942, 0.269, 0.847)
Pd (0.058, 0.731, 0.153)
Pd (0.343, 0.833, 0.480)
Pd (0.657, 0.167, 0.520)

---

Energies, relative to the best one, in meV/atom: entry i 0; entry ii 106.

---

Entry i
First-principles (PBE) data for a relaxed structure of CuPd4Pt5, as listed in the Alexandria database.

Output
- DOS(E_F) (states/eV per cell) = 20.44
- space-group type = P4/mmm

Cell: 2.782 2.782 19.617 Å, 90.00 90.00 90.00°
Atoms (fractional coordinates):
Pt (0.500, 0.500, 0.908)
Pt (0.500, 0.500, 0.092)
Pd (0.000, 0.000, 0.398)
Cu (0.000, 0.000, 0.000)
Pt (0.500, 0.500, 0.703)
Pd (0.000, 0.000, 0.805)
Pd (0.000, 0.000, 0.195)
Pd (0.000, 0.000, 0.602)
Pt (0.500, 0.500, 0.500)
Pt (0.500, 0.500, 0.297)

---

Entry ii
First-principles (PBE) data for a relaxed structure of CuPd4Pt5, as listed in the Alexandria database.

Output
- DOS(E_F) (states/eV per cell) = 28.90
- space-group type = Pmmn

Cell: 4.661 8.760 8.165 Å, 90.00 90.00 90.00°
Atoms (fractional coordinates):
Pt (0.255, 0.247, 0.332)
Pt (0.745, 0.253, 0.832)
Pt (0.255, 0.247, 0.668)
Pd (0.901, 0.000, 0.325)
Pt (0.255, 0.753, 0.668)
Pd (0.901, 0.000, 0.675)
Pt (0.745, 0.253, 0.168)
Pd (0.099, 0.500, 0.825)
Pt (0.576, 0.500, 0.000)
Pd (0.753, 0.305, 0.500)
Pd (0.099, 0.500, 0.175)
Cu (0.743, 0.000, 0.000)
Pt (0.255, 0.753, 0.332)
Cu (0.257, 0.500, 0.500)
Pd (0.247, 0.805, 0.000)
Pd (0.247, 0.195, 0.000)
Pt (0.745, 0.747, 0.832)
Pd (0.753, 0.695, 0.500)
Pt (0.745, 0.747, 0.168)
Pt (0.424, 0.000, 0.500)

---

Energies, relative to the best one, in meV/atom: entry i 0; entry ii 175.

---

Entry i
First-principles (PBE) data for a relaxed structure of CuPd3Pt, as listed in the Alexandria database.

Output
- DOS(E_F) (states/eV per cell) = 6.00
- space-group type = Pm-3m

Cell: 4.506 4.506 4.506 Å, 90.00 90.00 90.00°
Atoms (fractional coordinates):
Pd (0.000, 0.500, 0.000)
Pd (0.500, 0.000, 0.000)
Pt (0.500, 0.500, 0.500)
Cu (0.000, 0.000, 0.000)
Pd (0.000, 0.000, 0.500)

---

Entry ii
First-principles (PBE) data for a relaxed structure of CuPd3Pt, as listed in the Alexandria database.

Output
- DOS(E_F) (states/eV per cell) = 15.65
- space-group type = Imma

Cell: 4.888 6.514 6.514 Å, 76.27 67.96 67.96°
Atoms (fractional coordinates):
Pd (0.491, 0.341, 0.677)
Cu (0.750, 0.277, 0.223)
Pt (0.000, 0.500, 0.500)
Pd (0.991, 0.177, 0.841)
Pd (0.509, 0.659, 0.323)
Pt (0.500, 0.000, 0.000)
Pd (0.500, 0.000, 0.500)
Pd (0.009, 0.823, 0.159)
Pd (0.000, 0.000, 0.500)
Cu (0.250, 0.723, 0.777)

---

Energies, relative to the best one, in meV/atom: entry i 510; entry ii 0.

---

Entry i
First-principles (PBE) data for a relaxed structure of CuPd8Pt2, as listed in the Alexandria database.

Output
- DOS(E_F) (states/eV per cell) = 20.69
- space-group type = C2/m

Cell: 4.713 7.081 7.039 Å, 59.80 76.12 61.52°
Atoms (fractional coordinates):
Pd (0.137, 0.901, 0.775)
Pt (0.000, 0.306, 0.388)
Pd (0.863, 0.324, 0.775)
Pd (0.863, 0.099, 0.225)
Cu (0.500, 0.000, 0.000)
Pd (0.313, 0.393, 0.000)
Pd (0.687, 0.607, 0.000)
Pd (0.500, 0.793, 0.415)
Pd (0.500, 0.207, 0.585)
Pd (0.137, 0.676, 0.225)
Pt (0.000, 0.694, 0.612)

---

Entry ii
First-principles (PBE) data for a relaxed structure of CuPd8Pt2, as listed in the Alexandria database.

Output
- DOS(E_F) (states/eV per cell) = 23.83
- space-group type = C2/m

Cell: 3.946 6.219 7.337 Å, 104.95 105.60 90.00°
Atoms (fractional coordinates):
Pd (0.044, 0.730, 0.088)
Pd (0.590, 0.447, 0.179)
Pd (0.680, 0.909, 0.360)
Pt (0.225, 0.634, 0.451)
Pd (0.134, 0.177, 0.269)
Pd (0.956, 0.270, 0.912)
Pd (0.866, 0.823, 0.731)
Pd (0.320, 0.091, 0.640)
Cu (0.500, 0.000, 0.000)
Pd (0.410, 0.553, 0.821)
Pt (0.775, 0.366, 0.549)

---

Energies, relative to the best one, in meV/atom: entry i 227; entry ii 0.